(1)
The following is a GGA-PBE calculation of crystalline InCuHg2 at its relaxed geometry, from Alexandria.

Size of the total moment = 0.00 μB/f.u.
Crystal system = tetragonal
Energy relative to the elements = 0.21 eV per atom

a = 5.3327 Å, b = 5.3327 Å, c = 5.3327 Å
α = 130.25°, β = 130.25°, γ = 73.00°
Closest atoms and distances in Å follow each position.
Element x y z (fractional)
In: 0.5000 0.5000 0.0000  4 Cu 3.10, 8 Hg 3.10-3.17
Hg: 0.0000 0.0000 0.0000  4 Hg 3.10, 4 Cu 3.10, 4 In 3.17
Hg: 0.2500 0.7500 0.5000  4 Hg 3.10, 4 In 3.10, 4 Cu 3.17
Cu: 0.7500 0.2500 0.5000  8 Hg 3.10-3.17, 4 In 3.10



(2)
The following is a GGA-PBE calculation of crystalline CoPt2Br at its relaxed geometry, from Alexandria.

Energy relative to the elements, uncorrected = 15.7 kcal/mol of atoms
Size of the total moment = 2.35 μB/f.u.
Crystal system = orthorhombic
Polymorph energy (0 for the lowest one) = 149.9 kJ/mol of formula units

a = 4.9133 Å, b = 4.9133 Å, c = 2.8526 Å
α = 90.00°, β = 90.00°, γ = 111.02°
Closest atoms and distances in Å follow each position.
Element x y z (fractional)
Pt: 0.5000 0.5000 0.0000  4 Pt 2.78-2.85, 4 Br 2.84, 4 Co 2.84
Pt: 0.0000 0.0000 0.0000  4 Pt 2.78-2.85, 4 Co 2.84, 4 Br 2.84
Br: 0.5000 0.0000 0.5000  2 Co 2.78, 8 Pt 2.84, 2 Br 2.85
Co: 0.0000 0.5000 0.5000  2 Br 2.78, 8 Pt 2.84, 2 Co 2.85



(3)
The following is a GGA-PBE calculation of crystalline Cs2K5TlHg2 at its relaxed geometry, from Alexandria.

Size of the total moment = 0.00 μB/f.u.
Crystal system = tetragonal
Energy relative to the elements = -0.10 eV per atom

a = 5.0486 Å, b = 14.6389 Å, c = 14.6389 Å
α = 90.00°, β = 90.00°, γ = 90.00°
Closest atoms and distances in Å follow each position.
Element x y z (fractional)
K: 0.5000 0.0000 0.5000  4 Hg 3.69
K: 0.5000 0.3048 0.5629  2 Hg 3.73, 2 Tl 3.92
K: 0.5000 0.6952 0.4371  2 Hg 3.73, 2 Tl 3.92
K: 0.5000 0.9371 0.1952  2 Hg 3.73, 2 Tl 3.92
K: 0.5000 0.4371 0.3048  2 Hg 3.73, 2 Tl 3.92
K: 0.5000 0.8048 0.9371  2 Hg 3.73, 2 Tl 3.92
K: 0.5000 0.0629 0.8048  2 Hg 3.73, 2 Tl 3.92
K: 0.5000 0.1952 0.0629  2 Hg 3.73, 2 Tl 3.92
K: 0.5000 0.5000 0.0000  4 Hg 3.69
K: 0.5000 0.5629 0.6952  2 Hg 3.73, 2 Tl 3.92
Tl: 0.0000 0.5000 0.5000  8 K 3.92
Tl: 0.0000 0.0000 0.0000  8 K 3.92
Hg: 0.0000 0.3701 0.1299  6 K 3.69-3.73, 1 Cs 4.02
Hg: 0.0000 0.8701 0.3701  6 K 3.69-3.73, 1 Cs 4.02
Hg: 0.0000 0.6299 0.8701  6 K 3.69-3.73, 1 Cs 4.02
Hg: 0.0000 0.1299 0.6299  6 K 3.69-3.73, 1 Cs 4.02
Cs: 0.0000 0.8243 0.6757  1 Hg 4.02, 2 K 4.43
Cs: 0.0000 0.3243 0.8243  1 Hg 4.02, 2 K 4.43
Cs: 0.0000 0.1757 0.3243  1 Hg 4.02, 2 K 4.43
Cs: 0.0000 0.6757 0.1757  1 Hg 4.02, 2 K 4.43



(4)
The following is a GGA-PBE calculation of crystalline RbAcP at its relaxed geometry, from Alexandria.

Size of the total moment = 0.00 μB/f.u.
Crystal system = trigonal
Energy relative to the elements = -0.59 eV per atom
Polymorph energy (0 for the lowest one) = 0.0 kJ/mol of formula units

a = 8.1561 Å, b = 4.5746 Å, c = 4.5746 Å
α = 120.00°, β = 90.00°, γ = 90.00°
Closest atoms and distances in Å follow each position.
Element x y z (fractional)
Ac: 0.1999 0.3333 0.6667  3 P 2.93
Rb: 0.7550 0.6667 0.3333  3 P 3.55
P: 0.0451 0.0000 0.0000  3 Ac 2.93



(5)
The following is a GGA-PBE calculation of crystalline LiAl4Pd at its relaxed geometry, from Alexandria.

Size of the total moment = 0.00 μB/f.u.
Crystal system = triclinic
Energy relative to the elements = -0.39 eV per atom
Polymorph energy (0 for the lowest one) = 0.0 kJ/mol of formula units

a = 4.2875 Å, b = 7.4679 Å, c = 6.6306 Å
α = 101.23°, β = 108.84°, γ = 90.22°
Closest atoms and distances in Å follow each position.
Element x y z (fractional)
Li: 0.3527 0.2795 0.2052  7 Al 2.65-2.74
Li: 0.6473 0.7205 0.7948  7 Al 2.65-2.74
Al: 0.5729 0.3490 0.6473  3 Pd 2.58-2.68, 2 Li 2.71-2.74, 2 Al 2.76-2.84
Al: 0.7981 0.4515 0.0964  1 Pd 2.48, 4 Al 2.63-2.76, 2 Li 2.65-2.66
Al: 0.2923 0.9160 0.0865  1 Pd 2.54, 1 Li 2.66, 5 Al 2.75-2.84
Al: 0.4271 0.6510 0.3527  3 Pd 2.58-2.68, 2 Li 2.71-2.74, 2 Al 2.76-2.84
Al: 0.0639 0.8631 0.6281  3 Pd 2.57-2.66, 2 Li 2.70, 2 Al 2.82-2.85
Al: 0.7077 0.0840 0.9135  1 Pd 2.54, 1 Li 2.66, 5 Al 2.75-2.84
Al: 0.9361 0.1369 0.3719  3 Pd 2.57-2.66, 2 Li 2.70, 2 Al 2.82-2.85
Al: 0.2019 0.5485 0.9036  1 Pd 2.48, 4 Al 2.63-2.76, 2 Li 2.65-2.66
Pd: 0.5000 0.0000 0.5000  8 Al 2.54-2.58
Pd: 0.0000 0.5000 0.5000  8 Al 2.48-2.68



(6)
The following is a GGA-PBE calculation of crystalline Pr2Sm6Dy3Pu at its relaxed geometry, from Alexandria.

Size of the total moment = 6.45 μB/f.u.
Crystal system = monoclinic
Energy relative to the elements = 0.05 eV per atom

a = 6.2547 Å, b = 6.2547 Å, c = 11.9197 Å
α = 95.06°, β = 95.06°, γ = 120.07°
Closest atoms and distances in Å follow each position.
Element x y z (fractional)
Pr: 0.3334 0.6666 0.0000  3 Pu 3.61, 3 Pr 3.61, 6 Sm 3.62-3.63
Pr: 0.6666 0.3334 0.0000  3 Pu 3.61, 3 Pr 3.61, 6 Sm 3.62-3.63
Sm: 0.2456 0.2456 0.7481  6 Sm 3.56-3.64, 3 Dy 3.57-3.60, 1 Pu 3.61, 2 Pr 3.62
Sm: 0.7544 0.7544 0.2519  6 Sm 3.56-3.64, 3 Dy 3.57-3.60, 1 Pu 3.61, 2 Pr 3.62
Sm: 0.5872 0.9163 0.7482  6 Sm 3.56-3.64, 3 Dy 3.57-3.60, 1 Pu 3.60, 2 Pr 3.62-3.63
Sm: 0.0837 0.4128 0.2518  6 Sm 3.56-3.64, 3 Dy 3.57-3.60, 1 Pu 3.60, 2 Pr 3.62-3.63
Sm: 0.4128 0.0837 0.2518  6 Sm 3.56-3.64, 3 Dy 3.57-3.60, 1 Pu 3.60, 2 Pr 3.62-3.63
Sm: 0.9163 0.5872 0.7482  6 Sm 3.56-3.64, 3 Dy 3.57-3.60, 1 Pu 3.60, 2 Pr 3.62-3.63
Pu: 0.0000 0.0000 0.0000  6 Sm 3.60-3.61, 6 Pr 3.61
Dy: 0.5000 0.5000 0.5000  6 Sm 3.57-3.60, 6 Dy 3.61-3.62
Dy: 0.1664 0.8336 0.5000  6 Sm 3.57-3.60, 6 Dy 3.61-3.62
Dy: 0.8336 0.1664 0.5000  6 Sm 3.57-3.60, 6 Dy 3.61-3.62